Entry 1:
! PuCuRh, relaxed, DFT PBE; values from VASP
! Relative energy among the computed polymorphs (kJ/mol of formula units): 169
! Uncorrected energy (eV per atom): -8.310
! Calculated volume (Å³/cell): 90.5
&SYSTEM
  ibrav = 0, nat = 6, ntyp = 3
/
ATOMIC_SPECIES
Pu 244.00 Pu.upf
Cu 63.55 Cu.upf
Rh 102.91 Rh.upf
ATOMIC_POSITIONS crystal
Pu 0.250 0.750 0.751
Pu 0.750 0.250 0.249
Cu 0.250 0.750 0.066
Cu 0.750 0.250 0.934
Rh 0.250 0.750 0.422
Rh 0.750 0.250 0.578
CELL_PARAMETERS angstrom
1.783 -1.924 0.000
1.783 1.924 0.000
0.000 0.000 13.196

---

Entry 2:
! Pu3CuRh3, relaxed, DFT PBE; values from VASP
! Uncorrected energy (eV per atom): -10.174
! Calculated volume (Å³/cell): 144.0
&SYSTEM
  ibrav = 0, nat = 7, ntyp = 3
/
ATOMIC_SPECIES
Pu 244.00 Pu.upf
Cu 63.55 Cu.upf
Rh 102.91 Rh.upf
ATOMIC_POSITIONS crystal
Pu 0.000 0.000 0.000
Pu 0.376 0.376 0.000
Pu 0.677 0.177 0.500
Cu 0.258 0.758 0.500
Rh 0.130 0.630 0.500
Rh 0.528 0.528 0.000
Rh 0.845 0.845 0.000
CELL_PARAMETERS angstrom
-1.911 1.956 9.628
1.911 -1.956 9.628
1.911 1.956 -9.628

---

Entry 3:
! Pu3CuRh5, relaxed, DFT PBE; values from VASP
! Uncorrected energy (eV per atom): -9.685
! Calculated volume (Å³/cell): 321.5
&SYSTEM
  ibrav = 0, nat = 18, ntyp = 3
/
ATOMIC_SPECIES
Pu 244.00 Pu.upf
Cu 63.55 Cu.upf
Rh 102.91 Rh.upf
ATOMIC_POSITIONS crystal
Pu 0.000 0.363 0.250
Pu 0.000 0.637 0.750
Pu 0.363 0.000 0.250
Pu 0.363 0.363 0.750
Pu 0.637 0.000 0.750
Pu 0.637 0.637 0.250
Cu 0.000 0.000 0.000
Cu 0.000 0.000 0.500
Rh 0.000 0.291 0.750
Rh 0.000 0.709 0.250
Rh 0.291 0.000 0.750
Rh 0.291 0.291 0.250
Rh 0.333 0.667 0.000
Rh 0.333 0.667 0.500
Rh 0.667 0.333 0.000
Rh 0.667 0.333 0.500
Rh 0.709 0.000 0.250
Rh 0.709 0.709 0.750
CELL_PARAMETERS angstrom
8.085 0.000 0.000
-4.042 7.001 0.000
0.000 0.000 5.681

---

Entry 4:
! Pu4CuRh3, relaxed, DFT PBE; values from VASP
! Relative energy among the computed polymorphs (kJ/mol of formula units): 0
! Uncorrected energy (eV per atom): -10.731
! Calculated volume (Å³/cell): 162.8
&SYSTEM
  ibrav = 0, nat = 8, ntyp = 3
/
ATOMIC_SPECIES
Pu 244.00 Pu.upf
Cu 63.55 Cu.upf
Rh 102.91 Rh.upf
ATOMIC_POSITIONS crystal
Pu 0.127 0.627 0.500
Pu 0.373 0.873 0.500
Pu 0.627 0.127 0.500
Pu 0.873 0.373 0.500
Cu 0.000 0.000 0.000
Rh 0.250 0.250 0.000
Rh 0.500 0.500 0.000
Rh 0.750 0.750 0.000
CELL_PARAMETERS angstrom
-2.421 2.421 6.942
2.421 -2.421 6.942
2.421 2.421 -6.942

---

Entry 5:
! Pu4Cu2Rh, relaxed, DFT PBE; values from VASP
! Uncorrected energy (eV per atom): -10.268
! Calculated volume (Å³/cell): 170.9
&SYSTEM
  ibrav = 0, nat = 7, ntyp = 3
/
ATOMIC_SPECIES
Pu 244.00 Pu.upf
Cu 63.55 Cu.upf
Rh 102.91 Rh.upf
ATOMIC_POSITIONS crystal
Pu 0.094 0.906 0.000
Pu 0.373 0.627 0.500
Pu 0.627 0.373 0.500
Pu 0.906 0.094 0.000
Cu 0.281 0.719 0.000
Cu 0.719 0.281 0.000
Rh 0.000 0.000 0.500
CELL_PARAMETERS angstrom
2.168 -7.608 0.000
2.168 7.608 0.000
0.000 0.000 5.180

---

Entry 6:
! Pu5CuRh4, relaxed, DFT PBE; values from VASP
! Uncorrected energy (eV per atom): -10.334
! Calculated volume (Å³/cell): 191.0
&SYSTEM
  ibrav = 0, nat = 10, ntyp = 3
/
ATOMIC_SPECIES
Pu 244.00 Pu.upf
Cu 63.55 Cu.upf
Rh 102.91 Rh.upf
ATOMIC_POSITIONS crystal
Pu 0.000 0.000 0.000
Pu 0.000 0.000 0.192
Pu 0.000 0.000 0.391
Pu 0.000 0.000 0.609
Pu 0.000 0.000 0.808
Cu 0.500 0.500 0.500
Rh 0.500 0.500 0.095
Rh 0.500 0.500 0.280
Rh 0.500 0.500 0.720
Rh 0.500 0.500 0.905
CELL_PARAMETERS angstrom
3.193 0.000 0.000
0.000 3.193 0.000
0.000 0.000 18.740

---

Entry 7:
! Pu3Cu2Rh3, relaxed, DFT PBE; values from VASP
! Uncorrected energy (eV per atom): -9.428
! Calculated volume (Å³/cell): 296.5
&SYSTEM
  ibrav = 0, nat = 16, ntyp = 3
/
ATOMIC_SPECIES
Pu 244.00 Pu.upf
Cu 63.55 Cu.upf
Rh 102.91 Rh.upf
ATOMIC_POSITIONS crystal
Pu 0.000 0.264 0.250
Pu 0.000 0.736 0.750
Pu 0.264 0.000 0.250
Pu 0.264 0.264 0.750
Pu 0.736 0.000 0.750
Pu 0.736 0.736 0.250
Cu 0.333 0.667 0.000
Cu 0.333 0.667 0.500
Cu 0.667 0.333 0.000
Cu 0.667 0.333 0.500
Rh 0.000 0.397 0.750
Rh 0.000 0.603 0.250
Rh 0.397 0.000 0.750
Rh 0.397 0.397 0.250
Rh 0.603 0.000 0.250
Rh 0.603 0.603 0.750
CELL_PARAMETERS angstrom
7.983 0.000 0.000
-3.992 6.914 0.000
0.000 0.000 5.373

---

Entry 8:
! PuCuRh, relaxed, DFT PBE; values from VASP
! Relative energy among the computed polymorphs (kJ/mol of formula units): 54
! Uncorrected energy (eV per atom): -8.709
! Calculated volume (Å³/cell): 53.4
&SYSTEM
  ibrav = 0, nat = 3, ntyp = 3
/
ATOMIC_SPECIES
Pu 244.00 Pu.upf
Cu 63.55 Cu.upf
Rh 102.91 Rh.upf
ATOMIC_POSITIONS crystal
Pu 0.000 0.000 0.000
Cu 0.305 0.305 0.000
Rh 0.683 0.683 0.000
CELL_PARAMETERS angstrom
-1.658 1.658 4.855
1.658 -1.658 4.855
1.658 1.658 -4.855

---

Entry 9:
! PuCu2Rh, relaxed, DFT PBE; values from VASP
! Relative energy among the computed polymorphs (kJ/mol of formula units): 88
! Uncorrected energy (eV per atom): -7.393
! Calculated volume (Å³/cell): 66.7
&SYSTEM
  ibrav = 0, nat = 4, ntyp = 3
/
ATOMIC_SPECIES
Pu 244.00 Pu.upf
Cu 63.55 Cu.upf
Rh 102.91 Rh.upf
ATOMIC_POSITIONS crystal
Pu 0.000 0.000 0.000
Cu 0.250 0.250 0.250
Cu 0.750 0.750 0.750
Rh 0.500 0.500 0.500
CELL_PARAMETERS angstrom
0.000 3.219 3.219
3.219 0.000 3.219
3.219 3.219 0.000

---

Entry 10:
! Pu2CuRh, relaxed, DFT PBE; values from VASP
! Uncorrected energy (eV per atom): -9.752
! Calculated volume (Å³/cell): 76.0
&SYSTEM
  ibrav = 0, nat = 4, ntyp = 3
/
ATOMIC_SPECIES
Pu 244.00 Pu.upf
Cu 63.55 Cu.upf
Rh 102.91 Rh.upf
ATOMIC_POSITIONS crystal
Pu 0.089 0.089 0.089
Pu 0.911 0.911 0.911
Cu 0.000 0.000 0.000
Rh 0.500 0.500 0.500
CELL_PARAMETERS angstrom
1.440 0.832 10.575
-1.440 0.832 10.575
0.000 -1.663 10.575

---

Entry 11:
! Pu6CuRh5, relaxed, DFT PBE; values from VASP
! Uncorrected energy (eV per atom): -10.913
! Calculated volume (Å³/cell): 243.6
&SYSTEM
  ibrav = 0, nat = 12, ntyp = 3
/
ATOMIC_SPECIES
Pu 244.00 Pu.upf
Cu 63.55 Cu.upf
Rh 102.91 Rh.upf
ATOMIC_POSITIONS crystal
Pu 0.001 0.245 0.498
Pu 0.330 0.583 0.839
Pu 0.331 0.079 0.838
Pu 0.669 0.921 0.162
Pu 0.670 0.417 0.161
Pu 0.999 0.755 0.502
Cu 0.500 0.500 0.500
Rh 0.165 0.665 0.173
Rh 0.167 0.165 0.167
Rh 0.500 0.000 0.500
Rh 0.833 0.835 0.833
Rh 0.835 0.335 0.827
CELL_PARAMETERS angstrom
4.849 0.000 0.000
0.003 6.899 0.000
2.420 3.441 7.282

---

Entry 12:
! PuCuRh, relaxed, DFT PBE; values from VASP
! Relative energy among the computed polymorphs (kJ/mol of formula units): 0
! Uncorrected energy (eV per atom): -8.895
! Calculated volume (Å³/cell): 108.7
&SYSTEM
  ibrav = 0, nat = 6, ntyp = 3
/
ATOMIC_SPECIES
Pu 244.00 Pu.upf
Cu 63.55 Cu.upf
Rh 102.91 Rh.upf
ATOMIC_POSITIONS crystal
Pu 0.197 0.803 0.750
Pu 0.803 0.197 0.250
Cu 0.500 0.500 0.000
Cu 0.500 0.500 0.500
Rh 0.097 0.903 0.250
Rh 0.903 0.097 0.750
CELL_PARAMETERS angstrom
2.126 -4.872 0.000
2.126 4.872 0.000
0.000 0.000 5.248

---

Entry 13:
! Pu2CuRh, relaxed, DFT PBE; values from VASP
! Uncorrected energy (eV per atom): -10.184
! Calculated volume (Å³/cell): 81.1
&SYSTEM
  ibrav = 0, nat = 4, ntyp = 3
/
ATOMIC_SPECIES
Pu 244.00 Pu.upf
Cu 63.55 Cu.upf
Rh 102.91 Rh.upf
ATOMIC_POSITIONS crystal
Pu 0.000 0.000 0.245
Pu 0.000 0.000 0.755
Cu 0.500 0.500 0.500
Rh 0.500 0.500 0.000
CELL_PARAMETERS angstrom
3.611 0.000 0.000
0.000 3.611 0.000
0.000 0.000 6.218

---

Entry 14:
! PuCu2Rh, relaxed, DFT PBE; values from VASP
! Relative energy among the computed polymorphs (kJ/mol of formula units): 0
! Uncorrected energy (eV per atom): -7.620
! Calculated volume (Å³/cell): 65.3
&SYSTEM
  ibrav = 0, nat = 4, ntyp = 3
/
ATOMIC_SPECIES
Pu 244.00 Pu.upf
Cu 63.55 Cu.upf
Rh 102.91 Rh.upf
ATOMIC_POSITIONS crystal
Pu 0.000 0.000 0.000
Cu 0.250 0.250 0.250
Cu 0.750 0.750 0.750
Rh 0.500 0.500 0.500
CELL_PARAMETERS angstrom
0.000 2.735 4.398
2.716 0.000 4.398
2.716 2.735 0.000

---

Entry 15:
! Pu2CuRh, relaxed, DFT PBE; values from VASP
! Uncorrected energy (eV per atom): -10.188
! Calculated volume (Å³/cell): 163.3
&SYSTEM
  ibrav = 0, nat = 8, ntyp = 3
/
ATOMIC_SPECIES
Pu 244.00 Pu.upf
Cu 63.55 Cu.upf
Rh 102.91 Rh.upf
ATOMIC_POSITIONS crystal
Pu 0.169 0.250 0.453
Pu 0.220 0.250 0.946
Pu 0.780 0.750 0.054
Pu 0.831 0.750 0.547
Cu 0.382 0.750 0.705
Cu 0.618 0.250 0.295
Rh 0.309 0.750 0.253
Rh 0.691 0.250 0.747
CELL_PARAMETERS angstrom
5.401 0.000 0.000
0.000 4.358 0.000
-1.485 0.000 6.939

---

Entry 16:
! Pu6CuRh3, relaxed, DFT PBE; values from VASP
! Uncorrected energy (eV per atom): -10.938
! Calculated volume (Å³/cell): 363.5
&SYSTEM
  ibrav = 0, nat = 20, ntyp = 3
/
ATOMIC_SPECIES
Pu 244.00 Pu.upf
Cu 63.55 Cu.upf
Rh 102.91 Rh.upf
ATOMIC_POSITIONS crystal
Pu 0.137 0.368 0.341
Pu 0.137 0.769 0.159
Pu 0.231 0.368 0.159
Pu 0.231 0.863 0.341
Pu 0.368 0.137 0.659
Pu 0.368 0.231 0.841
Pu 0.632 0.769 0.341
Pu 0.632 0.863 0.159
Pu 0.769 0.137 0.841
Pu 0.769 0.632 0.659
Pu 0.863 0.231 0.659
Pu 0.863 0.632 0.841
Cu 0.333 0.667 0.750
Cu 0.667 0.333 0.250
Rh 0.000 0.000 0.000
Rh 0.000 0.000 0.500
Rh 0.333 0.667 0.549
Rh 0.333 0.667 0.951
Rh 0.667 0.333 0.049
Rh 0.667 0.333 0.451
CELL_PARAMETERS angstrom
5.818 0.000 0.000
-2.909 5.038 0.000
0.000 0.000 12.401

---

Entry 17:
! Pu12CuRh6, relaxed, DFT PBE; values from VASP
! Uncorrected energy (eV per atom): -11.807
! Calculated volume (Å³/cell): 382.6
&SYSTEM
  ibrav = 0, nat = 19, ntyp = 3
/
ATOMIC_SPECIES
Pu 244.00 Pu.upf
Cu 63.55 Cu.upf
Rh 102.91 Rh.upf
ATOMIC_POSITIONS crystal
Pu 0.081 0.395 0.154
Pu 0.154 0.081 0.395
Pu 0.176 0.594 0.466
Pu 0.395 0.154 0.081
Pu 0.406 0.534 0.824
Pu 0.466 0.176 0.594
Pu 0.534 0.824 0.406
Pu 0.594 0.466 0.176
Pu 0.605 0.846 0.919
Pu 0.824 0.406 0.534
Pu 0.846 0.919 0.605
Pu 0.919 0.605 0.846
Cu 0.000 0.000 0.000
Rh 0.108 0.256 0.769
Rh 0.231 0.892 0.744
Rh 0.256 0.769 0.108
Rh 0.744 0.231 0.892
Rh 0.769 0.108 0.256
Rh 0.892 0.744 0.231
CELL_PARAMETERS angstrom
5.366 3.098 3.836
-5.366 3.098 3.836
0.000 -6.196 3.836

---

Entry 18:
! Pu4CuRh, relaxed, DFT PBE; values from VASP
! Uncorrected energy (eV per atom): -11.476
! Calculated volume (Å³/cell): 128.8
&SYSTEM
  ibrav = 0, nat = 6, ntyp = 3
/
ATOMIC_SPECIES
Pu 244.00 Pu.upf
Cu 63.55 Cu.upf
Rh 102.91 Rh.upf
ATOMIC_POSITIONS crystal
Pu 0.155 0.155 0.000
Pu 0.343 0.343 0.500
Pu 0.657 0.657 0.500
Pu 0.845 0.845 0.000
Cu 0.500 0.500 0.000
Rh 0.000 0.000 0.500
CELL_PARAMETERS angstrom
4.898 -2.574 0.000
4.898 2.574 0.000
-0.009 0.000 5.107

---

Entry 19:
! Pu2CuRh2, relaxed, DFT PBE; values from VASP
! Uncorrected energy (eV per atom): -9.857
! Calculated volume (Å³/cell): 97.8
&SYSTEM
  ibrav = 0, nat = 5, ntyp = 3
/
ATOMIC_SPECIES
Pu 244.00 Pu.upf
Cu 63.55 Cu.upf
Rh 102.91 Rh.upf
ATOMIC_POSITIONS crystal
Pu 0.203 0.203 0.000
Pu 0.797 0.797 0.000
Cu 0.500 0.000 0.500
Rh 0.238 0.500 0.738
Rh 0.762 0.500 0.262
CELL_PARAMETERS angstrom
-2.131 2.860 4.010
2.131 -2.860 4.010
2.131 2.860 -4.010

---

Entry 20:
! PuCuRuRh, relaxed, DFT PBE; values from VASP
! Uncorrected energy (eV per atom): -8.950
! Calculated volume (Å³/cell): 64.3
&SYSTEM
  ibrav = 0, nat = 4, ntyp = 4
/
ATOMIC_SPECIES
Pu 244.00 Pu.upf
Cu 63.55 Cu.upf
Ru 101.07 Ru.upf
Rh 102.91 Rh.upf
ATOMIC_POSITIONS crystal
Pu 0.000 0.000 0.000
Cu 0.500 0.500 0.500
Ru 0.250 0.250 0.250
Rh 0.750 0.750 0.750
CELL_PARAMETERS angstrom
0.000 3.180 3.180
3.180 0.000 3.180
3.180 3.180 0.000

---

Entry 21:
! Pu4CuRu2Rh, relaxed, DFT PBE; values from VASP
! Uncorrected energy (eV per atom): -10.993
! Calculated volume (Å³/cell): 158.2
&SYSTEM
  ibrav = 0, nat = 8, ntyp = 4
/
ATOMIC_SPECIES
Pu 244.00 Pu.upf
Cu 63.55 Cu.upf
Ru 101.07 Ru.upf
Rh 102.91 Rh.upf
ATOMIC_POSITIONS crystal
Pu 0.124 0.124 0.124
Pu 0.376 0.376 0.376
Pu 0.624 0.624 0.624
Pu 0.876 0.876 0.876
Cu 0.000 0.000 0.000
Ru 0.247 0.247 0.247
Ru 0.753 0.753 0.753
Rh 0.500 0.500 0.500
CELL_PARAMETERS angstrom
2.384 1.377 8.035
-2.384 1.377 8.035
0.000 -2.753 8.035

---

Entry 22:
! Pu2CuSi2Rh5, relaxed, DFT PBE; values from VASP
! Uncorrected energy (eV per atom): -8.614
! Formation energy (no corrections) (eV/f.u.): -5.777
! Calculated volume (Å³/cell): 326.8
&SYSTEM
  ibrav = 0, nat = 20, ntyp = 4
/
ATOMIC_SPECIES
Pu 244.00 Pu.upf
Cu 63.55 Cu.upf
Si 28.09 Si.upf
Rh 102.91 Rh.upf
ATOMIC_POSITIONS crystal
Pu 0.175 0.325 0.000
Pu 0.325 0.825 0.000
Pu 0.675 0.175 0.000
Pu 0.825 0.675 0.000
Cu 0.000 0.000 0.000
Cu 0.500 0.500 0.000
Si 0.125 0.625 0.000
Si 0.375 0.125 0.000
Si 0.625 0.875 0.000
Si 0.875 0.375 0.000
Rh 0.000 0.500 0.500
Rh 0.067 0.792 0.500
Rh 0.208 0.067 0.500
Rh 0.292 0.567 0.500
Rh 0.433 0.292 0.500
Rh 0.500 0.000 0.500
Rh 0.567 0.708 0.500
Rh 0.708 0.433 0.500
Rh 0.792 0.933 0.500
Rh 0.933 0.208 0.500
CELL_PARAMETERS angstrom
9.667 0.000 0.000
0.000 9.667 0.000
0.000 0.000 3.497

---

Entry 23:
! SmPuCuRh, relaxed, DFT PBE; values from VASP
! Uncorrected energy (eV per atom): -7.914
! Calculated volume (Å³/cell): 85.0
&SYSTEM
  ibrav = 0, nat = 4, ntyp = 4
/
ATOMIC_SPECIES
Sm 150.36 Sm.upf
Pu 244.00 Pu.upf
Cu 63.55 Cu.upf
Rh 102.91 Rh.upf
ATOMIC_POSITIONS crystal
Sm 0.000 0.000 0.000
Pu 0.500 0.500 0.500
Cu 0.750 0.750 0.750
Rh 0.250 0.250 0.250
CELL_PARAMETERS angstrom
0.000 3.490 3.490
3.490 0.000 3.490
3.490 3.490 0.000

---

Entry 24:
! TbPuCuRh, relaxed, DFT PBE; values from VASP
! Uncorrected energy (eV per atom): -7.928
! Calculated volume (Å³/cell): 83.0
&SYSTEM
  ibrav = 0, nat = 4, ntyp = 4
/
ATOMIC_SPECIES
Tb 158.93 Tb.upf
Pu 244.00 Pu.upf
Cu 63.55 Cu.upf
Rh 102.91 Rh.upf
ATOMIC_POSITIONS crystal
Tb 0.000 0.000 0.000
Pu 0.500 0.500 0.500
Cu 0.250 0.250 0.250
Rh 0.750 0.750 0.750
CELL_PARAMETERS angstrom
0.000 3.462 3.462
3.462 0.000 3.462
3.462 3.462 0.000